## ZrNbCrF2 (GGA-PBEsol)

Data for ZrNbCrF2 after structural relaxation.

extended XYZ file:
```
5
Lattice="-0.071 0.324 -3.830 2.245 -3.106 -0.304 -4.550 -3.269 -0.193" Properties=species:S:1:pos:R:3 pbc="T T T"
F 1.122 -1.553 -0.152
Zr -1.188 -3.025 -2.164
Cr 0.000 0.000 0.000
F -0.035 0.162 -1.915
Nb -2.275 -1.634 -0.096
```

Magnetic moment ... 2.1 μB per cell
Formation energy (no corrections) ... -456 meV per atom
Space-group type ... P4/mmm (123)
Energy ... -36.289 eV per cell